Density functional theory data (PBE) for a relaxed CaTcSe2 crystal.

Density of states at the Fermi level = 2.8 states/eV/cell
E_tot = -22.0 eV for the cell shown
Total magnetization = 0.000 μB/cell
Raw formation energy = -0.670 eV/atom
Energy relative to the lowest polymorph listed for this composition = 84 meV/atom
Density = 5.14 g cm⁻³

Cell lengths 4.541, 3.913, 5.725 Å; angles 70.01, 90.00, 90.00 degrees
Sites, in units of the cell vectors:
Se: 0.500 0.356 0.413
Se: 0.000 0.067 0.990
Tc: 0.000 0.431 0.264
Ca: 0.500 0.646 0.834

---

Density functional theory data (PBE) for a relaxed LaPrIrI crystal.

Density of states at the Fermi level = 1.4 states/eV/cell
E_tot = -24.2 eV for the cell shown
Total magnetization = 0.000 μB/cell
Raw formation energy = -1.016 eV/atom
Density = 7.70 g cm⁻³

Cell lengths 4.246, 4.246, 8.627 Å; angles 90.01, 104.24, 120.00 degrees
Sites, in units of the cell vectors:
Ir: 0.305 0.550 0.870
Pr: 0.513 0.154 0.683
I: 0.969 0.383 0.366
La: 0.091 0.944 0.050

---

Question: What is the formula in the second record?
Answer: LaPrIrI